The following is a PBE-GGA calculation of a geometry-optimized Re2PAu structure, from the Alexandria database.

Volume, Å³/cell: 62.68
DFT formation energy, eV/atom: 0.192

Lattice parameters (Å, degrees): 9.080 9.080 9.080 18.04 18.04 18.04
Sites, in units of the cell vectors:
1 Au 0.500 0.500 0.500
2 Re 0.996 0.996 0.996
3 Re 0.743 0.743 0.743
4 P 0.261 0.261 0.261